# 1
# PrErSn2Pt4

A geometry-optimized PrErSn2Pt4 structure (PBE, the Open Quantum Materials Database).

```
PrErSn2Pt4
1.0
4.590 0.000 0.000
-2.295 3.975 0.000
0.000 0.000 9.237
Pr Er Sn Pt
1 1 2 4
direct
0.000 0.000 0.000
0.333 0.667 0.500
0.667 0.333 0.256
0.667 0.333 0.744
0.000 0.000 0.345
0.000 0.000 0.655
0.333 0.667 0.170
0.333 0.667 0.830
```

Calculated values
total magnetic moment: 0.00 μB/f.u.
VASP energy: -6.16 eV per atom
volume: 168.6 Å³ per cell

=====

# 2
# As2Ir

A geometry-optimized As2Ir structure (PBE, the Open Quantum Materials Database).

```
As2Ir
1.0
0.000 5.309 5.309
5.309 0.000 5.309
5.309 5.309 0.000
As Ir
4 2
direct
0.000 0.000 0.000
0.000 0.000 0.500
0.000 0.500 0.000
0.500 0.000 0.000
0.125 0.125 0.125
0.875 0.875 0.875
```

Calculated values
total magnetic moment: 1.00 μB/f.u.
VASP energy: -5.44 eV per atom
volume: 299.3 Å³ per cell

=====

# 3
# DySc

A geometry-optimized DySc structure (PBE, the Open Quantum Materials Database).

```
DySc
1.0
3.447 0.000 0.000
-1.723 2.985 0.000
0.000 0.000 5.385
Dy Sc
1 1
direct
0.000 0.000 0.000
0.667 0.333 0.500
```

Calculated values
total magnetic moment: 0.09 μB/f.u.
E_form: 0.044 eV/atom
VASP energy: -5.42 eV per atom
volume: 55.4 Å³ per cell